Entry 1:
The following is a PBE calculation of Ta2MnIn2Te6 after structural relaxation, from the Alexandria database.

extended XYZ file:
```
11
Lattice="3.224 -5.816 0.000 3.224 5.816 0.000 -1.871 0.000 8.996" Properties=species:S:1:pos:R:3 pbc="T T T"
Ta 3.224 4.349 0.000
Ta 3.224 -4.349 0.000
Mn 3.224 0.000 0.000
In 2.288 3.181 4.498
In 2.288 -3.181 4.498
Te -0.605 0.000 7.017
Te 2.236 2.022 1.535
Te 2.340 2.022 7.460
Te 2.236 -2.022 1.535
Te 2.340 -2.022 7.460
Te 5.182 0.000 1.978
```

Properties
Symmetry   C2/m, No. 12
Formation energy from raw total energies   -163 meV/atom
V   337.3 Å³ per cell



Entry 2:
The following is a PBE calculation of TaMn4Au after structural relaxation, from the Alexandria database.

extended XYZ file:
```
6
Lattice="0.000 3.395 3.395 3.395 0.000 3.395 3.395 3.395 0.000" Properties=species:S:1:pos:R:3 pbc="T T T"
Ta 0.000 0.000 0.000
Mn 4.231 2.559 2.559
Mn 2.559 4.231 2.559
Mn 2.559 2.559 4.231
Mn 4.231 4.231 4.231
Au 1.698 1.698 1.698
```

Properties
Symmetry   F-43m, No. 216
Uncorrected energy   -8.619 eV/atom
V   78.3 Å³ per cell



Entry 3:
The following is a PBE calculation of Rb2TbSnS4 after structural relaxation, from the Alexandria database.

extended XYZ file:
```
16
Lattice="0.000 7.409 12.057 3.409 0.000 12.057 3.409 7.409 0.000" Properties=species:S:1:pos:R:3 pbc="T T T"
Rb 2.557 5.557 1.427
Rb 4.261 9.261 7.455
Rb 2.557 5.557 16.658
Rb 4.261 9.261 22.686
Tb 0.852 1.852 3.014
Tb 5.966 12.966 21.099
Sn 2.557 5.557 9.043
Sn 4.261 9.261 15.071
S 2.564 3.332 4.285
S 4.254 7.037 10.313
S 2.549 7.781 4.285
S 2.549 3.332 13.800
S 4.268 11.485 10.313
S 4.268 7.037 19.829
S 2.564 7.781 13.800
S 4.254 11.485 19.829
```

Properties
Symmetry   Fddd, No. 70
Formation energy from raw total energies   -1067 meV/atom
V   609.0 Å³ per cell



Entry 4:
The following is a PBE calculation of CoPdRh2 after structural relaxation, from the Alexandria database.

extended XYZ file:
```
4
Lattice="0.000 3.051 3.051 3.051 0.000 3.051 3.051 3.051 0.000" Properties=species:S:1:pos:R:3 pbc="T T T"
Co 0.000 0.000 0.000
Pd 3.051 3.051 3.051
Rh 1.526 1.526 1.526
Rh 4.577 4.577 4.577
```

Properties
Symmetry   Fm-3m, No. 225
Energy above the most stable polymorph in this dataset   0.221 eV/atom
V   56.8 Å³ per cell



Question: What is the V in the first record?
Answer: 337.3 Å³ per cell



Question: What is the V in the first record?
Answer: 337.3 Å³ per cell



What did the third record say?
The following is a PBE calculation of Rb2TbSnS4 after structural relaxation, from the Alexandria database.

extended XYZ file:
```
16
Lattice="0.000 7.409 12.057 3.409 0.000 12.057 3.409 7.409 0.000" Properties=species:S:1:pos:R:3 pbc="T T T"
Rb 2.557 5.557 1.427
Rb 4.261 9.261 7.455
Rb 2.557 5.557 16.658
Rb 4.261 9.261 22.686
Tb 0.852 1.852 3.014
Tb 5.966 12.966 21.099
Sn 2.557 5.557 9.043
Sn 4.261 9.261 15.071
S 2.564 3.332 4.285
S 4.254 7.037 10.313
S 2.549 7.781 4.285
S 2.549 3.332 13.800
S 4.268 11.485 10.313
S 4.268 7.037 19.829
S 2.564 7.781 13.800
S 4.254 11.485 19.829
```

Properties
Symmetry   Fddd, No. 70
Formation energy from raw total energies   -1067 meV/atom
V   609.0 Å³ per cell



Question: Number 2 is which compound?
Answer: TaMn4Au